Density functional theory data (PBE-GGA) for a relaxed Mg2SnTe crystal.

The value obtained for the electronic total energy is -43.8 eV for the cell shown. The density comes out at 3571 kg/m3. The total magnetic moment is 0.0 μB/cell. The value obtained for the uncorrected formation energy is -0.15 eV per atom.

It has space group I-42d (No. 122), with a = 7.137 Å, b = 7.137 Å, c = 10.769 Å, α = 90.00°, β = 90.00° and γ = 90.00°. The inequivalent atoms are Mg at (0.235, 0.250, 0.125), Sn at (0.000, 0.000, 0.500) and Te at (0.000, 0.000, 0.000).

Density functional theory data (PBE-GGA) for a relaxed HgSbO2 crystal.

The value obtained for the electronic total energy is -69.7 eV for the cell shown. The density comes out at 6031 kg/m3. The total magnetic moment is 0.0 μB/cell. The value obtained for the uncorrected formation energy is -0.77 eV per atom.

It has space group I-42d (No. 122), with a = 6.510 Å, b = 6.510 Å, c = 9.209 Å, α = 90.00°, β = 90.00° and γ = 90.00°. The inequivalent atoms are Hg at (0.000, 0.000, 0.000), Sb at (0.000, 0.000, 0.500) and O at (0.002, 0.750, 0.625).

Density functional theory data (PBE-GGA) for a relaxed Tm2CdHgPd4 crystal.

The value obtained for the electronic total energy is -110.4 eV for the cell shown. The density comes out at 11738 kg/m3. The total magnetic moment is 0.0 μB/cell. As for the formation energy: -0.7327 eV per atom.

It has space group R-3m (No. 166, hexagonal axes), with a = 4.7480 Å, b = 4.7480 Å, c = 23.4021 Å, α = 90.00°, β = 90.00° and γ = 120.00°. The inequivalent atoms are Tm at (0.0000, 0.0000, 0.2487), Cd at (0.0000, 0.0000, 0.0000), Hg at (0.0000, 0.0000, 0.5000), Pd at (0.0000, 0.0000, 0.1237) and Pd at (0.0000, 0.0000, 0.3727).

Density functional theory data (PBE-GGA) for a relaxed Zr2Bi2Br crystal.

The value obtained for the electronic total energy is -54.0 eV for the cell shown. The density comes out at 8239 kg/m3. The total magnetic moment is 0.0 μB/cell. The value obtained for the uncorrected formation energy is -0.09 eV per atom.

It has space group P4/mbm (No. 127), with a = 9.030 Å, b = 9.030 Å, c = 3.363 Å, α = 90.00°, β = 90.00° and γ = 90.00°. The inequivalent atoms are Zr at (0.148, 0.352, 0.000), Bi at (0.142, 0.642, 0.500) and Br at (0.000, 0.000, 0.500).

Density functional theory data (PBE-GGA) for a relaxed DyEr7Al5 crystal.

The value obtained for the electronic total energy is -116.4 eV for the cell shown. The density comes out at 7442 kg/m3. The total magnetic moment is 0.0 μB/cell. As for the formation energy: -0.2265 eV per atom.

It has space group Imm2 (No. 44), with a = 6.058 Å, b = 10.184 Å, c = 10.620 Å, α = 90.00°, β = 90.00° and γ = 90.00°. The inequivalent atoms are Dy at (0.000, 0.000, 0.000), Er at (0.000, 0.000, 0.346), Er at (0.000, 0.000, 0.673), Er at (0.000, 0.306, 0.507), Er at (0.000, 0.337, 0.022), Er at (0.000, 0.500, 0.742), Al at (0.000, 0.500, 0.276) and Al at (0.247, 0.241, 0.769).

Density functional theory data (PBE-GGA) for a relaxed CuGeRh crystal.

The value obtained for the electronic total energy is -16.7 eV for the cell shown. The density comes out at 9337 kg/m3. The total magnetic moment is 0.0 μB/cell. As for the formation energy: -0.2144 eV per atom.

It has space group P3m1 (No. 156), with a = 4.1074 Å, b = 4.1074 Å, c = 2.9104 Å, α = 90.00°, β = 90.00° and γ = 120.00°. The inequivalent atoms are Cu at (0.0000, 0.0000, 0.0000), Ge at (0.6667, 0.3333, 0.7016) and Rh at (0.3333, 0.6667, 0.4812).

Density functional theory data (PBE-GGA) for a relaxed NaCaSn2 crystal.

The value obtained for the electronic total energy is -24.7 eV for the cell shown. The density comes out at 4104 kg/m3. The total magnetic moment is 0.0 μB/cell. As for the formation energy: -0.2515 eV per atom.

It has space group P2_1/m (No. 11), with a = 5.774 Å, b = 8.041 Å, c = 5.812 Å, α = 90.00°, β = 115.69° and γ = 90.00°. The inequivalent atoms are Na at (0.066, 0.250, 0.436), Ca at (0.433, 0.250, 0.066) and Sn at (0.246, 0.572, 0.253).

Density functional theory data (PBE-GGA) for a relaxed CaLu2Ge4O12 crystal.

The value obtained for the electronic total energy is -539.1 eV for the cell shown. The density comes out at 5718 kg/m3. The total magnetic moment is 0.0 μB/cell. The value obtained for the uncorrected formation energy is -2.41 eV per atom.

It has space group Cmme (No. 67), with a = 14.152 Å, b = 14.161 Å, c = 5.058 Å, α = 90.00°, β = 90.00° and γ = 90.00°. The inequivalent atoms are Ca at (0.250, 0.250, 0.000), Lu at (0.000, 0.000, 0.000), Lu at (0.250, 0.000, 0.000), Ge at (0.115, 0.134, 0.495), O at (0.000, 0.122, 0.326), O at (0.114, 0.056, 0.764), O at (0.120, 0.250, 0.645) and O at (0.198, 0.124, 0.246).

Density functional theory data (PBE-GGA) for a relaxed BaSc2Ge crystal.

The value obtained for the electronic total energy is -73.0 eV for the cell shown. The density comes out at 3435 kg/m3. The total magnetic moment is 7.8 μB/cell. As for the formation energy: 0.2366 eV per atom.

It has space group I-42d (No. 122), with a = 5.471 Å, b = 5.471 Å, c = 19.369 Å, α = 90.00°, β = 90.00° and γ = 90.00°. The inequivalent atoms are Ba at (0.000, 0.000, 0.000), Sc at (0.001, 0.250, 0.625) and Ge at (0.000, 0.000, 0.500).

Density functional theory data (PBE-GGA) for a relaxed SrLa2Cl crystal.

The value obtained for the electronic total energy is -61.6 eV for the cell shown. The density comes out at 4531 kg/m3. The total magnetic moment is 4.2 μB/cell. The value obtained for the uncorrected formation energy is -0.50 eV per atom.

It has space group I-42d (No. 122), with a = 9.575 Å, b = 9.575 Å, c = 6.410 Å, α = 90.00°, β = 90.00° and γ = 90.00°. The inequivalent atoms are Sr at (0.000, 0.000, 0.000), La at (0.159, 0.250, 0.625) and Cl at (0.000, 0.000, 0.500).

Density functional theory data (PBE-GGA) for a relaxed SrCaAsBr2 crystal.

The value obtained for the electronic total energy is -17.4 eV for the cell shown. The density comes out at 3478 kg/m3. The total magnetic moment is 1.0 μB/cell. The value obtained for the uncorrected formation energy is -1.15 eV per atom.

It has space group P4/mmm (No. 123), with a = 5.445 Å, b = 5.445 Å, c = 5.838 Å, α = 90.00°, β = 90.00° and γ = 90.00°. The inequivalent atoms are Sr at (0.000, 0.000, 0.000), Ca at (0.500, 0.500, 0.500), As at (0.500, 0.500, 0.000) and Br at (0.000, 0.500, 0.500).

Density functional theory data (PBE-GGA) for a relaxed HfCrPd crystal.

The value obtained for the electronic total energy is -101.0 eV for the cell shown. The density comes out at 11057 kg/m3. The total magnetic moment is 0.0 μB/cell. As for the formation energy: -0.1587 eV per atom.

It has space group Immm (No. 71), with a = 3.242 Å, b = 5.324 Å, c = 11.725 Å, α = 90.00°, β = 90.00° and γ = 90.00°. The inequivalent atoms are Hf at (0.000, 0.000, 0.191), Cr at (0.000, 0.318, 0.500) and Pd at (0.000, 0.500, 0.118).

Density functional theory data (PBE-GGA) for a relaxed Sm2ErAl12Co3 crystal.

The value obtained for the electronic total energy is -240.1 eV for the cell shown. The density comes out at 4238 kg/m3. The total magnetic moment is 0.0 μB/cell. As for the formation energy: 0.0106 eV per atom.

It has space group R-3m (No. 166, hexagonal axes), with a = 8.3957 Å, b = 8.3957 Å, c = 18.6509 Å, α = 90.00°, β = 90.00° and γ = 120.00°. The inequivalent atoms are Sm at (0.0000, 0.0000, 0.0849), Er at (0.0000, 0.0000, 0.5000), Al at (0.0777, 0.5389, 0.3177), Al at (0.0880, 0.5440, 0.8824) and Co at (0.0000, 0.5000, 0.0000).

Density functional theory data (PBE-GGA) for a relaxed LiSc2MnCr crystal.

The value obtained for the electronic total energy is -26.8 eV for the cell shown. The density comes out at 4042 kg/m3. The total magnetic moment is 0.3 μB/cell. As for the formation energy: 1.3162 eV per atom.

It has space group P4/mmm (No. 123), with a = 4.588 Å, b = 4.588 Å, c = 3.977 Å, α = 90.00°, β = 90.00° and γ = 90.00°. The inequivalent atoms are Li at (0.000, 0.000, 0.000), Sc at (0.000, 0.500, 0.000), Mn at (0.500, 0.500, 0.500) and Cr at (0.000, 0.000, 0.500).

Density functional theory data (PBE-GGA) for a relaxed AcSmDyHg crystal.

The value obtained for the electronic total energy is -54.4 eV for the cell shown. The density comes out at 9846 kg/m3. The total magnetic moment is 0.0 μB/cell. As for the formation energy: 0.0342 eV per atom.

It has space group F-43m (No. 216), with a = 7.934 Å, b = 7.934 Å, c = 7.934 Å, α = 90.00°, β = 90.00° and γ = 90.00°. The inequivalent atoms are Ac at (0.000, 0.000, 0.000), Sm at (0.250, 0.250, 0.750), Dy at (0.250, 0.250, 0.250) and Hg at (0.000, 0.000, 0.500).